# SCAN InCoTePt2, single point on PBEsol structure
# total moment = 2.4 μB/f.u.
# formation energy (no corrections) = 7.047 eV per formula unit
# N(E_F) = 0.79 states/eV per atom
data_InCoTePt2
_cell_length_a 4.878
_cell_length_b 4.878
_cell_length_c 5.391
_cell_angle_alpha 90.00
_cell_angle_beta 90.00
_cell_angle_gamma 90.00
_space_group_name_H-M_alt 'P 1'
_space_group_IT_number 1
_space_group_name_Hall 'P 1'
loop_
_atom_site_label
_atom_site_type_symbol
_atom_site_fract_x
_atom_site_fract_y
_atom_site_fract_z
_atom_site_occupancy
Te1 Te 0.000 0.000 0.500 1
In1 In 0.000 0.000 0.000 1
Co1 Co 0.500 0.500 0.500 1
Pt1 Pt 0.500 0.000 0.000 1
Pt2 Pt 0.000 0.500 0.000 1

# SCAN Rb3InCo, single point on PBEsol structure
# VASP energy = -21.835 eV per atom
# total moment = 2.3 μB/f.u.
# N(E_F) = 1.97 states/eV per atom
data_Rb3InCo
_cell_length_a 6.830
_cell_length_b 6.830
_cell_length_c 6.830
_cell_angle_alpha 90.00
_cell_angle_beta 90.00
_cell_angle_gamma 90.00
_space_group_name_H-M_alt 'P 1'
_space_group_IT_number 1
_space_group_name_Hall 'P 1'
loop_
_atom_site_label
_atom_site_type_symbol
_atom_site_fract_x
_atom_site_fract_y
_atom_site_fract_z
_atom_site_occupancy
Rb1 Rb 0.500 0.000 0.000 1
Rb2 Rb 0.000 0.000 0.500 1
Rb3 Rb 0.000 0.500 0.000 1
In1 In 0.000 0.000 0.000 1
Co1 Co 0.500 0.500 0.500 1

# SCAN RbIn3Co, single point on PBEsol structure
# VASP energy = -27.684 eV per atom
# total moment = 0.9 μB/f.u.
# N(E_F) = 0.44 states/eV per atom
data_RbIn3Co
_cell_length_a 5.008
_cell_length_b 5.008
_cell_length_c 5.008
_cell_angle_alpha 90.00
_cell_angle_beta 90.00
_cell_angle_gamma 90.00
_space_group_name_H-M_alt 'P 1'
_space_group_IT_number 1
_space_group_name_Hall 'P 1'
loop_
_atom_site_label
_atom_site_type_symbol
_atom_site_fract_x
_atom_site_fract_y
_atom_site_fract_z
_atom_site_occupancy
Rb1 Rb 0.500 0.500 0.500 1
Co1 Co 0.000 0.000 0.000 1
In1 In 0.000 0.500 0.000 1
In2 In 0.000 0.000 0.500 1
In3 In 0.500 0.000 0.000 1

# SCAN InCo2Re, single point on PBEsol structure
# VASP energy = -34.423 eV per atom
# total moment = 3.4 μB/f.u.
# N(E_F) = 0.52 states/eV per atom
data_InCo2Re
_cell_length_a 2.721
_cell_length_b 4.460
_cell_length_c 4.460
_cell_angle_alpha 102.64
_cell_angle_beta 90.00
_cell_angle_gamma 90.00
_space_group_name_H-M_alt 'P 1'
_space_group_IT_number 1
_space_group_name_Hall 'P 1'
loop_
_atom_site_label
_atom_site_type_symbol
_atom_site_fract_x
_atom_site_fract_y
_atom_site_fract_z
_atom_site_occupancy
Re1 Re 0.500 0.500 0.500 1
In1 In 0.500 0.000 0.000 1
Co1 Co 0.000 0.000 0.500 1
Co2 Co 0.000 0.500 0.000 1